# PuCdIn2O8

PuCdIn2O8 after structural relaxation (PBE, Alexandria).

The value obtained for the uncorrected formation energy is -18.69 eV per formula unit. As for the crystal system: monoclinic.

It has space group P2/m (No. 10), with a = 5.030 Å, b = 6.747 Å, c = 5.039 Å, α = 90.00°, β = 92.06° and γ = 90.00°. The inequivalent atoms are Pu at (0.000, 0.000, 0.000), Cd at (0.000, 0.500, 0.000), In at (0.500, 0.253, 0.500), O at (0.189, 0.208, 0.814), O at (0.299, 0.000, 0.303) and O at (0.307, 0.500, 0.309).

# Pu2CdInO8

Pu2CdInO8 after structural relaxation (PBE, Alexandria).

The value obtained for the uncorrected formation energy is -24.14 eV per formula unit. As for the crystal system: tetragonal.

It has space group I-4 (No. 82), with a = 5.340 Å, b = 5.340 Å, c = 10.605 Å, α = 90.00°, β = 90.00° and γ = 90.00°. The inequivalent atoms are Pu at (0.000, 0.000, 0.000), Pu at (0.000, 0.500, 0.250), Cd at (0.000, 0.000, 0.500), In at (0.000, 0.500, 0.750), O at (0.214, 0.731, 0.113) and O at (0.223, 0.756, 0.860).

# PuCdInO6

PuCdInO6 after structural relaxation (PBE, Alexandria).

The value obtained for the uncorrected formation energy is -15.51 eV per formula unit. As for the crystal system: trigonal.

It has space group P312 (No. 149), with a = 5.5182 Å, b = 5.5182 Å, c = 4.8980 Å, α = 90.00°, β = 90.00° and γ = 120.00°. The inequivalent atoms are Pu at (0.0000, 0.0000, 0.0000), Cd at (0.3333, 0.6667, 0.5000), In at (0.6667, 0.3333, 0.0000) and O at (0.3100, 0.0066, 0.2288).

# RbCdInO3

RbCdInO3 after structural relaxation (PBE, Alexandria).

The value obtained for the uncorrected formation energy is -7.40 eV per formula unit. As for the crystal system: monoclinic.

It has space group P2_1/m (No. 11), with a = 6.736 Å, b = 3.374 Å, c = 10.336 Å, α = 90.00°, β = 108.04° and γ = 90.00°. The inequivalent atoms are Rb at (0.188, 0.250, 0.196), Cd at (0.369, 0.250, 0.881), In at (0.193, 0.750, 0.597), O at (0.027, 0.750, 0.385), O at (0.273, 0.750, 0.982) and O at (0.405, 0.250, 0.671).

# CdIn2ReO8

CdIn2ReO8 after structural relaxation (PBE, Alexandria).

The value obtained for the uncorrected formation energy is -15.30 eV per formula unit. As for the crystal system: monoclinic.

It has space group P2/m (No. 10), with a = 4.877 Å, b = 6.742 Å, c = 4.882 Å, α = 90.00°, β = 91.98° and γ = 90.00°. The inequivalent atoms are Cd at (0.000, 0.000, 0.000), In at (0.500, 0.253, 0.500), Re at (0.000, 0.500, 0.000), O at (0.187, 0.300, 0.814), O at (0.287, 0.500, 0.287) and O at (0.308, 0.000, 0.310).

# Cd2InRhO6

Cd2InRhO6 after structural relaxation (PBE, Alexandria).

The value obtained for the uncorrected formation energy is -9.47 eV per formula unit. As for the crystal system: monoclinic.

It has space group P2_1/c (No. 14), with a = 5.547 Å, b = 5.641 Å, c = 9.686 Å, α = 90.00°, β = 124.64° and γ = 90.00°. The inequivalent atoms are Cd at (0.243, 0.049, 0.251), In at (0.500, 0.000, 0.000), Rh at (0.000, 0.000, 0.500), O at (0.111, 0.208, 0.935), O at (0.238, 0.682, 0.943) and O at (0.350, 0.056, 0.737).

| no. | energy (eV per cell) |
| --- | --- |
| 1 | -79.08 |
| 2 | -192.26 |
| 3 | -63.24 |
| 4 | -53.79 |
| 5 | -73.81 |
| 6 | -102.28 |